Entry from Alexandria via LeMat-Bulk: a relaxed TeOs2Pt crystal (PBEsol).

formation energy from raw total energies: 0.670 eV/atom
crystal system: orthorhombic
total magnetic moment: 0.00 Bohr magnetons per cell

Lattice parameters (Å, degrees): 2.968 4.664 4.664 102.90 90.00 90.00
Fractional positions:
Os (0.000, 0.000, 0.500)
Os (0.000, 0.500, 0.000)
Pt (0.500, 0.000, 0.000)
Te (0.500, 0.500, 0.500)

=====

Entry from Alexandria via LeMat-Bulk: a relaxed MgBBr2 crystal (PBEsol).

formation energy from raw total energies: 0.296 eV/atom
crystal system: trigonal
total magnetic moment: 0.00 Bohr magnetons per cell
ΔE to the lowest computed polymorph: 0 meV/atom

Lattice parameters (Å, degrees): 3.642 3.642 8.901 78.19 78.19 60.00
Fractional positions:
B (0.000, 0.000, 0.000)
Br (0.106, 0.106, 0.683)
Br (0.894, 0.894, 0.317)
Mg (0.500, 0.500, 0.500)

=====

Entry from Alexandria via LeMat-Bulk: a relaxed Tl2SbPb crystal (PBEsol).

formation energy from raw total energies: 0.023 eV/atom
crystal system: orthorhombic
total magnetic moment: 0.00 Bohr magnetons per cell
ΔE to the lowest computed polymorph: 20 meV/atom

Lattice parameters (Å, degrees): 3.275 5.244 6.625 90.00 90.00 90.00
Fractional positions:
Tl (0.000, 0.000, 0.746)
Tl (0.000, 0.000, 0.254)
Sb (0.500, 0.500, 0.500)
Pb (0.500, 0.500, 0.000)

=====

Entry from Alexandria via LeMat-Bulk: a relaxed Sr3LaMn4O10 crystal (PBEsol).

formation energy from raw total energies: -2.333 eV/atom
crystal system: monoclinic
total magnetic moment: 15.98 Bohr magnetons per cell

Lattice parameters (Å, degrees): 3.836 5.442 10.704 90.05 90.00 90.00
Fractional positions:
O (0.000, 0.965, 0.735)
O (0.000, 0.465, 0.768)
O (0.500, 0.296, 0.104)
O (0.500, 0.201, 0.603)
O (0.500, 0.706, 0.903)
O (0.000, 0.986, 0.009)
O (0.000, 0.500, 0.499)
O (0.000, 0.039, 0.267)
O (0.000, 0.552, 0.224)
O (0.500, 0.790, 0.388)
La (0.500, 0.787, 0.133)
Sr (0.500, 0.714, 0.635)
Sr (0.500, 0.213, 0.864)
Sr (0.500, 0.287, 0.369)
Mn (0.000, 0.767, 0.379)
Mn (0.000, 0.275, 0.117)
Mn (0.000, 0.233, 0.623)
Mn (0.000, 0.725, 0.882)

=====

Entry from Alexandria via LeMat-Bulk: a relaxed RuPt2 crystal (PBEsol).

ΔE_f: 0.0741 eV per atom
crystal system: tetragonal
total magnetic moment: 0.00 Bohr magnetons per cell

Lattice parameters (Å, degrees): 2.695 2.695 12.401 96.24 96.24 90.00
Fractional positions:
Ru (0.250, 0.750, 0.500)
Ru (0.000, 0.000, 0.000)
Pt (0.673, 0.173, 0.346)
Pt (0.827, 0.327, 0.654)
Pt (0.423, 0.423, 0.846)
Pt (0.577, 0.577, 0.154)

=====

Entry from Alexandria via LeMat-Bulk: a relaxed Al5Tc3 crystal (PBEsol).

ΔE_f: -0.3062 eV per atom
crystal system: orthorhombic
total magnetic moment: 0.00 Bohr magnetons per cell

Lattice parameters (Å, degrees): 4.178 5.217 5.217 100.99 90.00 90.00
Fractional positions:
Al (0.500, 0.708, 0.708)
Al (0.000, 0.000, 0.500)
Al (0.000, 0.000, 0.000)
Al (0.500, 0.292, 0.292)
Al (0.000, 0.500, 0.000)
Tc (0.500, 0.786, 0.214)
Tc (0.000, 0.500, 0.500)
Tc (0.500, 0.214, 0.786)

=====

Entry from Alexandria via LeMat-Bulk: a relaxed Sr2CdHg crystal (PBEsol).

ΔE_f: -0.4469 eV per atom
crystal system: cubic
total magnetic moment: 0.00 Bohr magnetons per cell

Lattice parameters (Å, degrees): 5.570 5.570 5.570 60.00 60.00 60.00
Fractional positions:
Hg (0.000, 0.000, 0.000)
Sr (0.750, 0.750, 0.750)
Sr (0.250, 0.250, 0.250)
Cd (0.500, 0.500, 0.500)

=====

Entry from Alexandria via LeMat-Bulk: a relaxed FeIrS2F crystal (PBEsol).

formation energy from raw total energies: 1.152 eV/atom
crystal system: tetragonal
total magnetic moment: 3.76 Bohr magnetons per cell

Lattice parameters (Å, degrees): 3.900 4.451 4.451 90.00 90.00 90.00
Fractional positions:
Ir (0.500, 0.000, 0.000)
Fe (0.500, 0.500, 0.500)
S (0.000, 0.500, 0.000)
S (0.000, 0.000, 0.500)
F (0.000, 0.000, 0.000)

=====

Entry from Alexandria via LeMat-Bulk: a relaxed SrCa2Cu2 crystal (PBEsol).

ΔE_f: 0.1984 eV per atom
crystal system: tetragonal
total magnetic moment: 0.00 Bohr magnetons per cell
ΔE to the lowest computed polymorph: 205 meV/atom

Lattice parameters (Å, degrees): 5.216 5.216 6.574 113.37 113.37 90.00
Fractional positions:
Ca (0.340, 0.340, 0.680)
Ca (0.660, 0.660, 0.320)
Cu (0.750, 0.250, 0.500)
Cu (0.250, 0.750, 0.500)
Sr (0.000, 0.000, 0.000)

=====

Entry from Alexandria via LeMat-Bulk: a relaxed PbCl2 crystal (PBEsol).

formation energy from raw total energies: -1.049 eV/atom
crystal system: monoclinic
total magnetic moment: 0.00 Bohr magnetons per cell

Lattice parameters (Å, degrees): 4.026 5.613 8.592 92.88 90.00 111.02
Fractional positions:
Cl (0.154, 0.308, 0.625)
Cl (0.138, 0.276, 0.101)
Cl (0.862, 0.724, 0.899)
Cl (0.846, 0.692, 0.375)
Pb (0.396, 0.792, 0.177)
Pb (0.604, 0.208, 0.823)

=====

Entry from Alexandria via LeMat-Bulk: a relaxed ErCuPb crystal (PBEsol).

ΔE_f: -0.3454 eV per atom
crystal system: hexagonal
total magnetic moment: 0.00 Bohr magnetons per cell

Lattice parameters (Å, degrees): 4.534 4.534 7.131 90.00 90.00 120.00
Fractional positions:
Er (0.000, 0.000, 0.500)
Er (0.000, 0.000, 0.000)
Cu (0.667, 0.333, 0.750)
Cu (0.333, 0.667, 0.250)
Pb (0.333, 0.667, 0.750)
Pb (0.667, 0.333, 0.250)

=====

Entry from Alexandria via LeMat-Bulk: a relaxed Ta2TcHg crystal (PBEsol).

ΔE_f: 0.1307 eV per atom
crystal system: tetragonal
total magnetic moment: 0.00 Bohr magnetons per cell

Lattice parameters (Å, degrees): 4.100 4.100 4.938 114.53 114.53 90.00
Fractional positions:
Ta (0.750, 0.250, 0.500)
Ta (0.250, 0.750, 0.500)
Hg (0.000, 0.000, 0.000)
Tc (0.500, 0.500, 0.000)